# 1
A relaxed Ta2AlO6 crystal, computed with PBE.

VASP energy in eV per atom: -9.147
Energy relative to the elements, uncorrected in eV/atom: -2.7915
Crystal system: tetragonal

Lattice parameters (Å, degrees): 4.676 4.676 9.050 90.00 90.00 90.00
Fractional positions:
Ta (0.500, 0.500, 0.339)
Ta (0.500, 0.500, 0.661)
Ta (0.000, 0.000, 0.161)
Ta (0.000, 0.000, 0.839)
Al (0.500, 0.500, 0.000)
Al (0.000, 0.000, 0.500)
O (0.695, 0.695, 0.161)
O (0.695, 0.695, 0.839)
O (0.714, 0.714, 0.500)
O (0.786, 0.214, 0.000)
O (0.805, 0.195, 0.339)
O (0.805, 0.195, 0.661)
O (0.195, 0.805, 0.339)
O (0.195, 0.805, 0.661)
O (0.214, 0.786, 0.000)
O (0.286, 0.286, 0.500)
O (0.305, 0.305, 0.161)
O (0.305, 0.305, 0.839)

# 2
A relaxed TaAl3O crystal, computed with PBE.

VASP energy in eV per atom: -4.274
Energy relative to the elements, uncorrected in eV/atom: 1.3336
Distance to the lowest polymorph of the same formula in meV/atom: 1923
Crystal system: cubic

Lattice parameters (Å, degrees): 5.114 5.114 5.114 90.00 90.00 90.00
Fractional positions:
Al (0.000, 0.500, 0.000)
Al (0.000, 0.000, 0.500)
Al (0.500, 0.000, 0.000)
O (0.500, 0.500, 0.500)
Ta (0.000, 0.000, 0.000)

# 3
A relaxed TaAl2O6 crystal, computed with PBE.

VASP energy in eV per atom: -8.118
Energy relative to the elements, uncorrected in eV/atom: -2.6636
Crystal system: tetragonal

Lattice parameters (Å, degrees): 4.563 4.563 8.810 90.00 90.00 90.00
Fractional positions:
Ta (0.000, 0.000, 0.000)
Ta (0.500, 0.500, 0.500)
Al (0.000, 0.000, 0.335)
Al (0.500, 0.500, 0.835)
Al (0.500, 0.500, 0.165)
Al (0.000, 0.000, 0.665)
O (0.298, 0.298, 0.328)
O (0.702, 0.702, 0.328)
O (0.202, 0.798, 0.828)
O (0.798, 0.202, 0.828)
O (0.202, 0.798, 0.172)
O (0.798, 0.202, 0.172)
O (0.298, 0.298, 0.672)
O (0.702, 0.702, 0.672)
O (0.310, 0.310, 0.000)
O (0.690, 0.690, 0.000)
O (0.190, 0.810, 0.500)
O (0.810, 0.190, 0.500)

# 4
A relaxed Ta2AlO crystal, computed with PBE.

VASP energy in eV per atom: -8.213
Energy relative to the elements, uncorrected in eV/atom: -0.1112
Distance to the lowest polymorph of the same formula in meV/atom: 0
Crystal system: tetragonal

Lattice parameters (Å, degrees): 5.133 5.133 6.767 67.71 67.71 90.00
Fractional positions:
Al (0.000, 0.000, 0.000)
Al (0.750, 0.250, 0.500)
O (0.500, 0.500, 0.000)
O (0.250, 0.750, 0.500)
Ta (0.501, 0.125, 0.250)
Ta (0.249, 0.625, 0.250)
Ta (0.375, 0.499, 0.750)
Ta (0.875, 0.751, 0.750)

# 5
A relaxed Ta3AlO crystal, computed with PBE.

VASP energy in eV per atom: -9.428
Energy relative to the elements, uncorrected in eV/atom: -0.5761
Crystal system: cubic

Lattice parameters (Å, degrees): 4.242 4.242 4.242 90.00 90.00 90.00
Fractional positions:
Al (0.500, 0.500, 0.500)
O (0.000, 0.000, 0.000)
Ta (0.000, 0.500, 0.000)
Ta (0.000, 0.000, 0.500)
Ta (0.500, 0.000, 0.000)

# 6
A relaxed TbTaAl2O8 crystal, computed with PBE.

VASP energy in eV per atom: -7.867
Energy relative to the elements, uncorrected in eV/atom: -2.5640
Crystal system: tetragonal

Lattice parameters (Å, degrees): 5.747 5.747 5.747 107.80 107.80 112.87
Fractional positions:
Tb (0.000, 0.000, 0.000)
Ta (0.250, 0.750, 0.500)
Al (0.750, 0.250, 0.500)
Al (0.500, 0.500, 0.000)
O (0.372, 0.047, 0.325)
O (0.327, 0.532, 0.205)
O (0.327, 0.121, 0.795)
O (0.721, 0.047, 0.675)
O (0.879, 0.673, 0.205)
O (0.953, 0.279, 0.325)
O (0.953, 0.628, 0.675)
O (0.468, 0.673, 0.795)

# 7
A relaxed TaAl2TeO crystal, computed with PBE.

VASP energy in eV per atom: -5.607
Energy relative to the elements, uncorrected in eV/atom: -0.1198
Crystal system: tetragonal

Lattice parameters (Å, degrees): 3.962 5.224 3.962 90.00 90.00 90.00
Fractional positions:
Te (0.000, 0.500, 0.000)
Al (0.000, 0.000, 0.500)
Al (0.500, 0.000, 0.000)
O (0.000, 0.000, 0.000)
Ta (0.500, 0.500, 0.500)

# 8
A relaxed ThTaAl2O8 crystal, computed with PBE.

VASP energy in eV per atom: -8.387
Energy relative to the elements, uncorrected in eV/atom: -2.8519
Crystal system: monoclinic

Lattice parameters (Å, degrees): 4.609 4.609 6.908 93.01 93.01 87.29
Fractional positions:
Th (0.000, 0.000, 0.500)
Ta (0.000, 0.000, 0.000)
Al (0.469, 0.469, 0.800)
Al (0.531, 0.531, 0.200)
O (0.212, 0.795, 0.214)
O (0.695, 0.695, 0.991)
O (0.795, 0.212, 0.214)
O (0.788, 0.205, 0.786)
O (0.305, 0.305, 0.009)
O (0.205, 0.788, 0.786)
O (0.670, 0.670, 0.445)
O (0.330, 0.330, 0.555)

# 9
A relaxed TmTaAl2O8 crystal, computed with PBE.

VASP energy in eV per atom: -7.880
Energy relative to the elements, uncorrected in eV/atom: -2.5905
Crystal system: tetragonal

Lattice parameters (Å, degrees): 5.713 5.713 5.713 107.79 107.79 112.89
Fractional positions:
Tm (0.000, 0.000, 0.000)
Ta (0.250, 0.750, 0.500)
Al (0.750, 0.250, 0.500)
Al (0.500, 0.500, 0.000)
O (0.369, 0.049, 0.321)
O (0.326, 0.531, 0.205)
O (0.326, 0.121, 0.795)
O (0.728, 0.049, 0.679)
O (0.879, 0.674, 0.205)
O (0.951, 0.272, 0.321)
O (0.951, 0.631, 0.679)
O (0.469, 0.674, 0.795)